# 1
DFT (GGA-PBEsol) results for a geometry-optimized SiMoSe structure.

Summary:
M_tot: 0.000 μB per cell
VASP energy: -6.92 eV/atom
Formation energy (no corrections): 0.60 eV/f.u.

Cell: 4.3261 4.3261 2.9092 Å, 90.00 90.00 120.00°
Space group P-6m2 (No. 187)
Inequivalent atoms, fractional coordinates:
Si  0.0000  0.0000  0.0000
Mo  0.6667  0.3333  0.5000
Se  0.3333  0.6667  0.5000

---

# 2
DFT (GGA-PBEsol) results for a geometry-optimized SiMo2Se structure.

Summary:
M_tot: 0.000 μB per cell
VASP energy: -7.96 eV/atom
Offset from the most stable computed form: 0.28 eV/f.u.
Formation energy (no corrections): 1.29 eV/f.u.

Cell: 6.2227 6.2227 6.2227 Å, 90.00 90.00 90.00°
Space group F-43m (No. 216)
Inequivalent atoms, fractional coordinates:
Si  0.0000  0.0000  0.0000
Mo  0.0000  0.0000  0.5000
Mo  0.2500  0.2500  0.2500
Se  0.2500  0.2500  0.7500

---

# 3
DFT (GGA-PBEsol) results for a geometry-optimized SiMo4Se structure.

Summary:
M_tot: 0.001 μB per cell
VASP energy: -8.89 eV/atom
Formation energy (no corrections): 3.32 eV/f.u.

Cell: 7.2989 7.2989 7.2989 Å, 90.00 90.00 90.00°
Space group F-43m (No. 216)
Inequivalent atoms, fractional coordinates:
Si  0.0000  0.0000  0.0000
Mo  0.1234  0.1234  0.3766
Se  0.2500  0.2500  0.7500

---

# 4
DFT (GGA-PBEsol) results for a geometry-optimized Si4MoSe structure.

Summary:
M_tot: 0.002 μB per cell
VASP energy: -5.96 eV/atom
Formation energy (no corrections): 2.84 eV/f.u.

Cell: 7.0550 7.0550 7.0550 Å, 90.00 90.00 90.00°
Space group F-43m (No. 216)
Inequivalent atoms, fractional coordinates:
Si  0.1245  0.1245  0.1245
Mo  0.0000  0.0000  0.5000
Se  0.2500  0.2500  0.7500

---

# 5
DFT (GGA-PBEsol) results for a geometry-optimized SmMo6Se8 structure.

Summary:
M_tot: 0.001 μB per cell
VASP energy: -7.86 eV/atom
Formation energy (no corrections): -11.35 eV/f.u.

Cell: 9.3227 9.3227 11.8546 Å, 90.00 90.00 120.00°
Space group R-3 (No. 148, hexagonal axes)
Inequivalent atoms, fractional coordinates:
Sm  0.0000  0.0000  0.0000
Mo  0.0179  0.1732  0.4055
Se  0.0000  0.0000  0.2393
Se  0.0077  0.6305  0.7515

---

# 6
DFT (GGA-PBEsol) results for a geometry-optimized Sn2Mo15Se19 structure.

Summary:
M_tot: 0.002 μB per cell
VASP energy: -7.67 eV/atom
Formation energy (no corrections): -17.99 eV/f.u.

Cell: 9.5199 9.5199 58.3035 Å, 90.00 90.00 120.00°
Space group R-3c (No. 167, hexagonal axes)
Inequivalent atoms, fractional coordinates:
Sn  0.0000  0.0000  0.1299
Mo  0.0000  0.1625  0.2500
Mo  0.0123  0.1664  0.7116
Mo  0.0222  0.1703  0.9805
Se  0.0000  0.0000  0.0540
Se  0.0000  0.0000  0.1776
Se  0.0000  0.3125  0.7500
Se  0.9997  0.3786  0.6833
Se  0.0011  0.3685  0.9519